[1]
# KCrNi2 PBE relaxed
# calculated formation energy	771	meV/atom
# mass density	5.654	g/cm3
data_KCrNi2
_chemical_formula_sum 'K3 Cr3 Ni6'
_cell_length_a 2.7624
_cell_length_b 2.7624
_cell_length_c 27.7981
_cell_angle_alpha 90.00
_cell_angle_beta 90.00
_cell_angle_gamma 120.00
_space_group_name_H-M_alt 'R -3 m'
_space_group_IT_number 166
_space_group_name_Hall '-R 3 2"'
loop_
_atom_site_label
_atom_site_type_symbol
_atom_site_fract_x
_atom_site_fract_y
_atom_site_fract_z
_atom_site_occupancy
K1 K 0.0000 0.0000 0.0000 1
Cr1 Cr 0.0000 0.0000 0.5000 1
Ni1 Ni 0.0000 0.0000 0.2338 1

---

[2]
# KCr2Ni PBE relaxed
# calculated formation energy	1424	meV/atom
# mass density	5.304	g/cm3
data_KCr2Ni
_chemical_formula_sum 'K2 Cr4 Ni2'
_cell_length_a 5.433
_cell_length_b 9.883
_cell_length_c 2.518
_cell_angle_alpha 90.00
_cell_angle_beta 110.85
_cell_angle_gamma 90.00
_space_group_name_H-M_alt 'C 1 2/m 1'
_space_group_IT_number 12
loop_
_space_group_symop_operation_xyz
'x,y,z'
'-x,-y,-z'
'-x,y,-z'
'x,-y,z'
'x+1/2,y+1/2,z'
'-x+1/2,-y+1/2,-z'
'-x+1/2,y+1/2,-z'
'x+1/2,-y+1/2,z'
loop_
_atom_site_label
_atom_site_type_symbol
_atom_site_fract_x
_atom_site_fract_y
_atom_site_fract_z
_atom_site_occupancy
K1 K 0.000 0.000 0.000 1
Cr1 Cr 0.250 0.250 0.500 1
Ni1 Ni 0.000 0.500 0.000 1

---

[3]
# KCrNi PBE relaxed
# calculated formation energy	1819	meV/atom
# mass density	3.002	g/cm3
data_KCrNi
_chemical_formula_sum 'K4 Cr4 Ni4'
_cell_length_a 6.920
_cell_length_b 6.920
_cell_length_c 6.920
_cell_angle_alpha 90.00
_cell_angle_beta 90.00
_cell_angle_gamma 90.00
_space_group_name_H-M_alt 'F -4 3 m'
_space_group_IT_number 216
_space_group_name_Hall 'F -4 2 3'
loop_
_atom_site_label
_atom_site_type_symbol
_atom_site_fract_x
_atom_site_fract_y
_atom_site_fract_z
_atom_site_occupancy
K1 K 0.000 0.000 0.000 1
Cr1 Cr 0.250 0.250 0.250 1
Ni1 Ni 0.250 0.250 0.750 1

---

[4]
# KCrNi2 PBE relaxed
# calculated formation energy	1105	meV/atom
# mass density	5.120	g/cm3
data_KCrNi2
_chemical_formula_sum 'K4 Cr4 Ni8'
_cell_length_a 6.467
_cell_length_b 6.467
_cell_length_c 6.467
_cell_angle_alpha 90.00
_cell_angle_beta 90.00
_cell_angle_gamma 90.00
_space_group_name_H-M_alt 'F m -3 m'
_space_group_IT_number 225
_space_group_name_Hall '-F 4 2 3'
loop_
_atom_site_label
_atom_site_type_symbol
_atom_site_fract_x
_atom_site_fract_y
_atom_site_fract_z
_atom_site_occupancy
K1 K 0.000 0.000 0.000 1
Cr1 Cr 0.000 0.000 0.500 1
Ni1 Ni 0.250 0.250 0.250 1

---

[5]
# K2CrNi PBE relaxed
# calculated formation energy	654	meV/atom
# mass density	2.589	g/cm3
data_K2CrNi
_chemical_formula_sum 'K2 Cr1 Ni1'
_cell_length_a 3.460
_cell_length_b 3.460
_cell_length_c 10.123
_cell_angle_alpha 90.00
_cell_angle_beta 90.00
_cell_angle_gamma 90.00
_space_group_name_H-M_alt 'P 4 m m'
_space_group_IT_number 99
loop_
_space_group_symop_operation_xyz
'x,y,z'
'-y,x,z'
'-x,-y,z'
'y,-x,z'
'-x,y,z'
'y,x,z'
'x,-y,z'
'-y,-x,z'
loop_
_atom_site_label
_atom_site_type_symbol
_atom_site_fract_x
_atom_site_fract_y
_atom_site_fract_z
_atom_site_occupancy
K1 K 0.000 0.000 0.000 1
K2 K 0.500 0.500 0.416 1
Cr1 Cr 0.500 0.500 0.732 1
Ni1 Ni 0.000 0.000 0.674 1

---

[6]
# K2CrNi PBE relaxed
# calculated formation energy	1040	meV/atom
# mass density	2.876	g/cm3
data_K2CrNi
_chemical_formula_sum 'K4 Cr2 Ni2'
_cell_length_a 5.358
_cell_length_b 5.358
_cell_length_c 7.597
_cell_angle_alpha 90.00
_cell_angle_beta 90.00
_cell_angle_gamma 90.00
_space_group_name_H-M_alt 'I -4 m 2'
_space_group_IT_number 119
_space_group_name_Hall 'I -4 -2'
loop_
_atom_site_label
_atom_site_type_symbol
_atom_site_fract_x
_atom_site_fract_y
_atom_site_fract_z
_atom_site_occupancy
K1 K 0.000 0.000 0.000 1
K2 K 0.000 0.500 0.250 1
Cr1 Cr 0.000 0.000 0.500 1
Ni1 Ni 0.000 0.500 0.750 1

---

Q: Among the records above, which one has the highest calculated formation energy?
A: KCrNi

---

Q: Which value of calculated formation energy does entry 3 give?
A: 1819 meV/atom

---

Q: What is the formula in the third record?
A: KCrNi